# 1
The following is a PBE calculation of a geometry-optimized LiThTl structure, from Alexandria via LeMat-Bulk.

Cell lengths 5.0153, 6.1330, 6.1330 Å; angles 92.87, 114.13, 114.13 degrees
Atoms (fractional coordinates):
Tl1 0.5000 0.8228 0.1772
Tl2 0.5000 0.1772 0.8228
Li1 0.0000 0.6687 0.3314
Li2 0.0000 0.3313 0.6686
Th1 0.7522 0.7521 0.7522
Th2 0.2478 0.2479 0.2478

Properties
E_form = -0.076 eV per atom
distance to the lowest polymorph of the same formula = 25 meV per atom
E = -3.98 eV/atom

***

# 2
The following is a PBE calculation of a geometry-optimized Li4ThTl structure, from Alexandria via LeMat-Bulk.

Cell lengths 5.6048, 5.6048, 5.6048 Å; angles 60.00, 60.00, 60.00 degrees
Atoms (fractional coordinates):
Tl1 0.0000 0.0000 0.0000
Th1 0.2500 0.2500 0.2500
Li1 0.6256 0.6256 0.1232
Li2 0.6256 0.1232 0.6256
Li3 0.6256 0.6256 0.6256
Li4 0.1232 0.6256 0.6256

Properties
E_form = 0.072 eV per atom
E = -2.84 eV/atom

***

# 3
The following is a PBE calculation of a geometry-optimized LiThTl3 structure, from Alexandria via LeMat-Bulk.

Cell lengths 4.8065, 4.6409, 11.9641 Å; angles 101.18, 101.55, 90.00 degrees
Atoms (fractional coordinates):
Tl1 0.7119 0.9618 0.9236
Tl2 0.0553 0.8049 0.6099
Tl3 0.2881 0.0382 0.0764
Tl4 0.5501 0.2997 0.5994
Tl5 0.4499 0.7003 0.4006
Tl6 0.9447 0.1951 0.3901
Li1 0.3967 0.1469 0.2938
Li2 0.6033 0.8531 0.7062
Th1 0.8267 0.5772 0.1545
Th2 0.1733 0.4228 0.8455

Properties
E_form = -0.020 eV per atom
E = -3.31 eV/atom

***

# 4
The following is a PBE calculation of a geometry-optimized Li5ThTl4 structure, from Alexandria via LeMat-Bulk.

Cell lengths 3.3931, 3.3931, 18.9679 Å; angles 90.00, 90.00, 90.00 degrees
Atoms (fractional coordinates):
Li1 0.5000 0.5000 0.8768
Li2 0.5000 0.5000 0.3047
Li3 0.5000 0.5000 0.5000
Li4 0.5000 0.5000 0.1232
Li5 0.5000 0.5000 0.6953
Th1 0.0000 0.0000 0.0000
Tl1 0.0000 0.0000 0.2051
Tl2 0.0000 0.0000 0.7949
Tl3 0.0000 0.0000 0.4033
Tl4 0.0000 0.0000 0.5967

Properties
E_form = -0.126 eV per atom
E = -2.77 eV/atom

***

# 5
The following is a PBE calculation of a geometry-optimized Li3ThTl2 structure, from Alexandria via LeMat-Bulk.

Cell lengths 4.7289, 7.4944, 8.7723 Å; angles 69.14, 74.36, 71.61 degrees
Atoms (fractional coordinates):
Tl1 0.2070 0.3173 0.2686
Tl2 0.5586 0.0925 0.7903
Tl3 0.7930 0.6827 0.7314
Tl4 0.4414 0.9075 0.2097
Th1 0.8660 0.2562 0.0117
Th2 0.1340 0.7438 0.9883
Li1 0.7367 0.0900 0.4367
Li2 0.2633 0.9100 0.5633
Li3 0.5921 0.4994 0.3165
Li4 0.0500 0.2910 0.6089
Li5 0.4079 0.5006 0.6835
Li6 0.9500 0.7090 0.3911

Properties
E_form = -0.157 eV per atom
E = -3.14 eV/atom

***

# 6
The following is a PBE calculation of a geometry-optimized LiThTl structure, from Alexandria via LeMat-Bulk.

Cell lengths 3.5192, 4.9950, 4.9950 Å; angles 120.00, 90.00, 90.00 degrees
Atoms (fractional coordinates):
Th1 0.6667 0.3333 0.6667
Tl1 0.1658 0.0000 0.0000
Li1 0.1675 0.6667 0.3333

Properties
E_form = -0.100 eV per atom
distance to the lowest polymorph of the same formula = 1 meV per atom
E = -4.00 eV/atom

***

# 7
The following is a PBE calculation of a geometry-optimized Li3ThTl3 structure, from Alexandria via LeMat-Bulk.

Cell lengths 7.0529, 7.0529, 7.0529 Å; angles 90.00, 90.00, 90.00 degrees
Atoms (fractional coordinates):
Tl1 0.0000 0.5000 0.2500
Tl2 0.0000 0.5000 0.7500
Tl3 0.2500 0.0000 0.5000
Tl4 0.5000 0.7500 0.0000
Tl5 0.5000 0.2500 0.0000
Tl6 0.7500 0.0000 0.5000
Li1 0.0000 0.7500 0.5000
Li2 0.2500 0.5000 0.0000
Li3 0.5000 0.0000 0.2500
Li4 0.7500 0.5000 0.0000
Li5 0.0000 0.2500 0.5000
Li6 0.5000 0.0000 0.7500
Th1 0.5000 0.5000 0.5000
Th2 0.0000 0.0000 0.0000

Properties
E_form = 0.281 eV per atom
E = -2.61 eV/atom

***

# 8
The following is a PBE calculation of a geometry-optimized LiTh2Tl9 structure, from Alexandria via LeMat-Bulk.

Cell lengths 4.8086, 4.8086, 14.3594 Å; angles 90.00, 90.00, 90.00 degrees
Atoms (fractional coordinates):
Tl1 0.5000 0.0000 0.8420
Tl2 0.5000 0.5000 0.6710
Tl3 0.5000 0.0000 0.5000
Tl4 0.0000 0.5000 0.1580
Tl5 0.0000 0.5000 0.8420
Tl6 0.5000 0.0000 0.1580
Tl7 0.5000 0.5000 0.0000
Tl8 0.0000 0.5000 0.5000
Tl9 0.5000 0.5000 0.3290
Th1 0.0000 0.0000 0.3361
Th2 0.0000 0.0000 0.6639
Li1 0.0000 0.0000 0.0000

Properties
E_form = -0.107 eV per atom
E = -3.28 eV/atom

***

# 9
The following is a PBE calculation of a geometry-optimized Li3Th2Tl4 structure, from Alexandria via LeMat-Bulk.

Cell lengths 6.4287, 8.3423, 8.7222 Å; angles 90.00, 111.62, 90.00 degrees
Atoms (fractional coordinates):
Li1 0.0260 0.7500 0.5520
Li2 0.4740 0.2500 0.4480
Li3 0.0000 0.0000 0.0000
Li4 0.5260 0.7500 0.5520
Li5 0.9740 0.2500 0.4480
Li6 0.5000 0.5000 0.0000
Tl1 0.3209 0.4708 0.6418
Tl2 0.3020 0.2500 0.1040
Tl3 0.8209 0.0292 0.6418
Tl4 0.6791 0.5292 0.3582
Tl5 0.6980 0.7500 0.8960
Tl6 0.1791 0.9708 0.3582
Tl7 0.1980 0.7500 0.8960
Tl8 0.8020 0.2500 0.1040
Th1 0.8899 0.4103 0.7799
Th2 0.1101 0.5897 0.2201
Th3 0.6101 0.9103 0.2201
Th4 0.3899 0.0897 0.7799

Properties
E_form = -0.152 eV per atom
E = -3.49 eV/atom

***

# 10
The following is a PBE calculation of a geometry-optimized LiTh2Tl8 structure, from Alexandria via LeMat-Bulk.

Cell lengths 4.9018, 4.9018, 12.5896 Å; angles 90.00, 90.00, 90.00 degrees
Atoms (fractional coordinates):
Li1 0.0000 0.0000 0.0000
Tl1 0.5000 0.0000 0.1258
Tl2 0.0000 0.5000 0.1258
Tl3 0.0000 0.5000 0.5000
Tl4 0.5000 0.0000 0.5000
Tl5 0.0000 0.5000 0.8742
Tl6 0.5000 0.0000 0.8742
Tl7 0.5000 0.5000 0.3118
Tl8 0.5000 0.5000 0.6882
Th1 0.0000 0.0000 0.6856
Th2 0.0000 0.0000 0.3144

Properties
E_form = -0.124 eV per atom
E = -3.37 eV/atom

***

# 11
The following is a PBE calculation of a geometry-optimized LiTh2Tl6 structure, from Alexandria via LeMat-Bulk.

Cell lengths 3.5672, 8.6529, 9.3939 Å; angles 117.43, 89.99, 90.00 degrees
Atoms (fractional coordinates):
Tl1 0.9998 0.6646 0.6953
Tl2 0.9998 0.0307 0.6953
Tl3 0.5000 0.6838 0.0000
Tl4 0.5000 0.3162 0.0000
Tl5 0.0002 0.3354 0.3047
Tl6 0.0002 0.9693 0.3047
Th1 0.5000 0.3017 0.6034
Th2 0.5000 0.6983 0.3966
Li1 0.0000 0.0000 0.0000

Properties
E_form = -0.002 eV per atom
E = -3.44 eV/atom

***

# 12
The following is a PBE calculation of a geometry-optimized LiThTl structure, from Alexandria via LeMat-Bulk.

Cell lengths 4.5068, 4.5060, 7.5576 Å; angles 90.00, 90.02, 90.00 degrees
Atoms (fractional coordinates):
Li1 0.2500 0.2500 0.5000
Li2 0.7500 0.7500 0.5000
Th1 0.2498 0.7500 0.1517
Th2 0.7502 0.2500 0.8483
Tl1 0.2502 0.7500 0.7242
Tl2 0.7498 0.2500 0.2758

Properties
E_form = -0.101 eV per atom
distance to the lowest polymorph of the same formula = 0 meV per atom
E = -4.00 eV/atom